# 1
## SrNbTl2W (GGA-PBE)

Data for a geometry-optimized SrNbTl2W structure.

a = 5.5687 Å, b = 5.5687 Å, c = 4.8207 Å
α = 90.00°, β = 90.00°, γ = 90.00°
Closest atoms and distances in Å follow each position.
Sites, in units of the cell vectors:
Sr1 0.0000 0.0000 0.0000  8 Tl 3.68, 4 W 3.94
Nb1 0.5000 0.5000 0.5000  2 W 2.41
Tl1 0.0000 0.5000 0.5000  2 Nb 2.78
Tl2 0.5000 0.0000 0.5000  2 Nb 2.78
W1 0.5000 0.5000 0.0000  2 Nb 2.41

calculated total energy: -25.473 eV for the cell shown
volume: 29.90 Å³/atom
SG: No. 123

=====

# 2
## Er3Se3O2 (GGA-PBE)

Data for a geometry-optimized Er3Se3O2 structure.

a = 6.6829 Å, b = 6.6829 Å, c = 12.9703 Å
α = 90.00°, β = 90.00°, γ = 146.92°
Closest atoms and distances in Å follow each position.
Sites, in units of the cell vectors:
Er1 0.1466 0.8534 0.5401  3 O 2.17-2.28
Er2 0.1466 0.8534 0.9599  3 O 2.17-2.28
Er3 0.1981 0.8019 0.2500  2 O 2.36
Er4 0.8019 0.1981 0.7500  2 O 2.36
Er5 0.8534 0.1466 0.0401  3 O 2.17-2.28
Er6 0.8534 0.1466 0.4599  3 O 2.17-2.28
Se1 0.1493 0.8507 0.7500  4 Er 2.72-2.73
Se2 0.4564 0.5436 0.6148  6 Er 3.07-3.26, 1 Se 3.18
Se3 0.4564 0.5436 0.8852  6 Er 3.07-3.26, 1 Se 3.18
Se4 0.5436 0.4564 0.1148  6 Er 3.07-3.26, 1 Se 3.18
Se5 0.5436 0.4564 0.3852  6 Er 3.07-3.26, 1 Se 3.18
Se6 0.8507 0.1493 0.2500  4 Er 2.72-2.73
O1 0.2646 0.7354 0.0801  4 Er 2.17-2.36
O2 0.2646 0.7354 0.4199  4 Er 2.17-2.36
O3 0.7354 0.2646 0.5801  4 Er 2.17-2.36
O4 0.7354 0.2646 0.9199  4 Er 2.17-2.36

volume: 19.76 Å³/atom
formation energy (no corrections): -1832 kJ/mol of formula units
SG: No. 63

=====

# 3
## LiAcNdRu (GGA-PBE)

Data for a geometry-optimized LiAcNdRu structure.

a = 5.2071 Å, b = 5.2071 Å, c = 5.2071 Å
α = 60.00°, β = 60.00°, γ = 60.00°
Closest atoms and distances in Å follow each position.
Sites, in units of the cell vectors:
Li1 0.0000 0.0000 0.0000  4 Nd 3.19, 4 Ac 3.19
Ac1 0.2500 0.2500 0.2500  4 Li 3.19, 4 Ru 3.19
Nd1 0.7500 0.7500 0.7500  4 Li 3.19, 4 Ru 3.19
Ru1 0.5000 0.5000 0.5000  4 Nd 3.19, 4 Ac 3.19

calculated total energy: -20.362 eV for the cell shown
volume: 24.96 Å³/atom
SG: No. 216